{
  "formula": "PrPS4",
  "functional": "GGA-PBEsol",
  "state": "optimized geometry",
  "lattice_angstrom": [[-7.425, -1.122, 7.834], [11.728, 0.328, 3.647], [-4.410, 9.506, -2.819]],
  "species": ["S", "S", "S", "S", "S", "S", "S", "S", "S", "S", "S", "S", "S", "S", "S", "S", "S", "S", "S", "S", "S", "S", "S", "S", "S", "S", "S", "S", "S", "S", "S", "S", "Pr", "Pr", "Pr", "Pr", "Pr", "Pr", "Pr", "Pr", "P", "P", "P", "P", "P", "P", "P", "P"],
  "frac_coords": [[0.215, 0.247, 0.763], [0.394, 0.925, 0.711], [0.719, 0.575, 0.536], [0.461, 0.425, 0.644], [0.513, 0.747, 0.465], [0.013, 0.747, 0.782], [0.789, 0.075, 0.106], [0.715, 0.247, 0.984], [0.718, 0.253, 0.487], [0.234, 0.747, 0.282], [0.237, 0.753, 0.968], [0.289, 0.075, 0.469], [0.737, 0.753, 0.285], [0.032, 0.247, 0.484], [0.856, 0.575, 0.039], [0.786, 0.075, 0.606], [0.031, 0.925, 0.211], [0.286, 0.075, 0.969], [0.532, 0.247, 0.263], [0.531, 0.925, 0.214], [0.961, 0.425, 0.281], [0.535, 0.253, 0.766], [0.464, 0.425, 0.144], [0.894, 0.925, 0.714], [0.356, 0.575, 0.036], [0.218, 0.253, 0.266], [0.035, 0.253, 0.987], [0.964, 0.425, 0.781], [0.016, 0.753, 0.468], [0.734, 0.747, 0.965], [0.516, 0.753, 0.785], [0.219, 0.575, 0.539], [0.500, 0.000, 0.500], [0.750, 0.500, 0.750], [0.000, 0.000, 0.000], [0.000, 0.000, 0.500], [0.500, 0.000, 0.000], [0.750, 0.500, 0.250], [0.250, 0.500, 0.750], [0.250, 0.500, 0.250], [0.913, 0.750, 0.625], [0.375, 0.250, 0.663], [0.837, 0.750, 0.125], [0.337, 0.750, 0.125], [0.875, 0.250, 0.087], [0.375, 0.250, 0.163], [0.413, 0.750, 0.625], [0.875, 0.250, 0.587]],
  "dft_energy_ev_per_atom": -5.846,
  "space_group": "I4_1/acd",
  "formation_energy_uncorrected_mev_per_atom": -1094
}